No. 1
K2YP | GGA-PBE | optimized geometry

The structure in POSCAR format:
```
K2YP
1.0
-5.535 3.874 -10.147
3.772 -9.994 -5.873
-3.109 -4.330 -7.280
K Y P
4 2 2
Cartesian
-2.932 -0.494 -7.368
-2.425 -7.047 -12.352
0.055 -6.261 -8.287
-4.442 -7.097 -18.593
0.000 0.000 0.000
-4.763 -1.758 -12.719
-0.881 -3.060 -8.010
-0.109 -8.692 -10.582
```

Summary:
space-group type: I-42d
formation energy: -46 kJ/mol of formula units


No. 2
Tl4SnBr2 | GGA-PBE | optimized geometry

The structure in POSCAR format:
```
Tl4SnBr2
1.0
-0.460 -2.205 -5.375
5.788 -0.635 -0.235
1.902 -9.633 0.630
Sn Tl Br
1 4 2
Cartesian
0.000 0.000 0.000
-0.230 -1.102 -2.687
5.053 -5.803 -4.371
2.177 -6.670 -0.609
2.894 -0.318 -0.117
2.478 -3.425 -1.966
4.752 -9.048 -3.014
```

Summary:
space-group type: I4/mmm
formation energy without anion corrections: -0.221 eV/atom


No. 3
LaTbMg2Tl4 | GGA-PBE | optimized geometry

The structure in POSCAR format:
```
LaTbMg2Tl4
1.0
-3.290 -1.021 4.029
0.185 -4.698 2.447
4.951 1.298 7.859
Tl Mg La Tb
4 2 1 1
Cartesian
-1.244 -3.371 5.104
2.676 0.080 5.692
-0.830 -4.501 8.643
3.090 -1.051 9.231
0.481 -1.095 3.602
1.365 -3.326 10.733
0.000 0.000 0.000
0.923 -2.211 7.168
```

Summary:
space-group type: R-3m
formation energy: -199 kJ/mol of formula units


No. 4
RuPtCl | GGA-PBE | optimized geometry

The structure in POSCAR format:
```
RuPtCl
1.0
2.929 0.000 0.000
-1.465 2.537 0.000
0.000 0.000 6.577
Ru Pt Cl
1 1 1
Cartesian
0.000 1.691 4.471
1.465 0.846 2.403
0.000 0.000 6.281
```

Summary:
ΔE to the lowest computed polymorph: 0 meV per atom
space-group type: P3m1
formation energy without anion corrections: 0.393 eV/atom


No. 5
ScTiMn2 | GGA-PBE | optimized geometry

The structure in POSCAR format:
```
ScTiMn2
1.0
-0.137 5.650 3.892
-1.939 -3.766 5.398
1.633 0.539 5.324
Mn Ti Sc
4 2 2
Cartesian
-0.819 -1.613 5.122
-0.627 1.986 12.218
0.480 1.178 7.381
0.077 3.295 4.508
0.000 0.000 0.000
0.228 3.565 6.931
-1.038 0.942 4.645
-0.672 -1.143 7.684
```

Summary:
space-group type: I-42d
formation energy: 147 kJ/mol of formula units


No. 6
NdGaCu2Pt4 | GGA-PBE | optimized geometry

The structure in POSCAR format:
```
NdGaCu2Pt4
1.0
-3.379 2.697 -0.189
-3.510 -0.756 2.416
1.016 5.235 6.989
Pt Cu Ga Nd
4 2 1 1
Cartesian
-1.963 4.936 6.444
-3.910 2.240 2.772
-0.280 3.440 4.545
-5.593 3.736 4.670
-4.449 5.319 6.826
-1.423 1.857 2.389
-2.936 3.588 4.608
0.000 0.000 0.000
```

Summary:
space-group type: R-3m
formation energy: -421 kJ/mol of formula units


No. 7
Mg12Tl5Ag3 | GGA-PBE | optimized geometry

The structure in POSCAR format:
```
Mg12Tl5Ag3
1.0
-6.908 1.657 -12.552
-4.924 -11.798 6.676
-2.312 11.551 8.322
Mg Tl Ag
48 20 12
Cartesian
-9.978 -2.362 4.581
-5.931 0.440 -7.665
-10.876 -6.214 -2.299
-5.086 -6.293 2.253
-9.058 7.703 0.193
-3.557 10.191 6.126
-5.222 -8.961 6.392
-4.858 -3.443 -0.828
-6.162 3.340 1.892
-5.927 0.989 6.216
-5.772 5.373 6.363
-8.372 -3.963 -3.917
-8.697 1.614 6.939
-10.587 -8.781 -3.681
-11.040 5.213 0.955
-8.216 0.421 -3.770
-8.922 10.371 -3.947
-5.447 -0.204 -4.493
-6.332 -6.333 -0.398
-3.104 -3.803 1.491
-12.160 0.427 0.625
-4.166 3.772 -2.135
-8.781 0.345 -6.992
-8.045 8.124 -5.609
-7.953 2.596 -0.743
-5.363 1.065 9.438
-4.606 4.693 8.963
-1.984 0.983 1.820
-8.213 0.970 10.111
-5.326 2.883 -5.573
-5.907 -1.792 7.939
-11.932 -1.726 -1.349
-2.212 3.136 3.795
-6.099 -6.714 8.055
-4.892 1.471 -0.474
-8.237 3.203 -5.494
-7.085 5.203 -1.760
-9.357 -4.137 1.902
-7.811 7.743 2.844
-3.267 7.624 4.745
-6.191 -1.185 3.189
-4.787 5.547 0.543
-7.982 -1.929 0.553
-9.286 4.854 3.274
-8.818 -1.472 8.019
-9.538 -3.283 -6.518
-9.252 -0.060 2.920
-7.059 -3.792 4.206
-5.424 -4.310 6.559
-4.940 7.810 2.369
-5.018 3.209 4.567
0.000 0.000 0.000
-10.033 2.294 4.443
-1.156 5.775 4.161
-9.204 -6.400 0.077
-3.618 -0.124 7.499
-9.125 -1.799 -2.121
-3.454 0.829 -6.276
-6.325 -8.465 3.744
-4.110 -0.884 -1.998
-7.819 9.875 -1.298
-3.288 -1.329 3.015
-7.072 0.705 1.223
-4.610 6.604 -2.115
-2.462 -5.899 3.338
-10.856 2.740 -0.569
-8.720 5.720 -4.113
-5.916 -5.070 -2.938
-10.934 -1.861 1.629
-7.898 5.275 0.900
-6.906 -1.453 10.514
-6.415 2.418 -3.055
-3.209 3.271 0.817
-7.728 -1.008 5.501
-7.238 2.863 -8.068
-6.827 3.148 8.316
-6.246 -3.865 1.546
-10.026 -5.954 -4.936
-7.316 -1.737 -5.870
-4.117 7.365 7.381
```

Summary:
space-group type: Ia-3d
formation energy: 425 kJ/mol of formula units